No. 1
Here is a relaxed Pm2CCl2 crystal from Alexandria via LeMat-Bulk. Energies are from GGA-PBE.

Properties
Energy = -0.2135 hartree per atom
M_tot = 0.0 μB/cell
E_form (uncorrected) = -1.325 eV per atom
Polymorph energy (0 for the lowest one) = 0.000 eV/atom

Cell and atoms, written as CIF:
```
data_Pm2CCl2
_cell_length_a 3.7674
_cell_length_b 3.7674
_cell_length_c 31.1799
_cell_angle_alpha 90.00
_cell_angle_beta 90.00
_cell_angle_gamma 120.00
_space_group_name_H-M_alt 'R -3 m'
_space_group_IT_number 166
_space_group_name_Hall '-R 3 2"'
loop_
_atom_site_label
_atom_site_type_symbol
_atom_site_fract_x
_atom_site_fract_y
_atom_site_fract_z
Pm1 Pm 0.0000 0.0000 0.1203
C1 C 0.0000 0.0000 0.5000
Cl1 Cl 0.0000 0.0000 0.3935
```



No. 2
Here is a relaxed Sm9Y2Er crystal from Alexandria via LeMat-Bulk. Energies are from GGA-PBE.

Properties
Energy = -0.1830 hartree per atom
M_tot = 0.0 μB/cell
Polymorph energy (0 for the lowest one) = 0.000 eV/atom

Cell and atoms, written as CIF:
```
data_Sm9Y2Er
_cell_length_a 5.103
_cell_length_b 5.103
_cell_length_c 15.311
_cell_angle_alpha 90.00
_cell_angle_beta 90.00
_cell_angle_gamma 90.00
_space_group_name_H-M_alt 'P 4/m m m'
_space_group_IT_number 123
_space_group_name_Hall '-P 4 2'
loop_
_atom_site_label
_atom_site_type_symbol
_atom_site_fract_x
_atom_site_fract_y
_atom_site_fract_z
Sm1 Sm 0.000 0.000 0.000
Sm2 Sm 0.000 0.000 0.333
Sm3 Sm 0.000 0.500 0.166
Sm4 Sm 0.000 0.500 0.500
Y1 Y 0.500 0.500 0.333
Er1 Er 0.500 0.500 0.000
```



No. 3
Here is a relaxed LiAcNdGe crystal from Alexandria via LeMat-Bulk. Energies are from GGA-PBE.

Properties
Energy = -0.1540 hartree per atom
M_tot = 0.0 μB/cell

Cell and atoms, written as CIF:
```
data_LiAcNdGe
_cell_length_a 7.625
_cell_length_b 7.625
_cell_length_c 7.625
_cell_angle_alpha 90.00
_cell_angle_beta 90.00
_cell_angle_gamma 90.00
_space_group_name_H-M_alt 'F -4 3 m'
_space_group_IT_number 216
_space_group_name_Hall 'F -4 2 3'
loop_
_atom_site_label
_atom_site_type_symbol
_atom_site_fract_x
_atom_site_fract_y
_atom_site_fract_z
Li1 Li 0.000 0.000 0.000
Ac1 Ac 0.250 0.250 0.250
Nd1 Nd 0.250 0.250 0.750
Ge1 Ge 0.000 0.000 0.500
```



No. 4
Here is a relaxed TbPr6Th2 crystal from Alexandria via LeMat-Bulk. Energies are from GGA-PBE.

Properties
Energy = -0.1939 hartree per atom
M_tot = 0.0 μB/cell

Cell and atoms, written as CIF:
```
data_TbPr6Th2
_cell_length_a 3.6400
_cell_length_b 3.6400
_cell_length_c 27.4653
_cell_angle_alpha 90.00
_cell_angle_beta 90.00
_cell_angle_gamma 120.00
_space_group_name_H-M_alt 'P -6 m 2'
_space_group_IT_number 187
_space_group_name_Hall 'P -6 2'
loop_
_atom_site_label
_atom_site_type_symbol
_atom_site_fract_x
_atom_site_fract_y
_atom_site_fract_z
Tb1 Tb 0.0000 0.0000 0.0000
Pr1 Pr 0.0000 0.0000 0.2215
Pr2 Pr 0.0000 0.0000 0.4365
Pr3 Pr 0.3333 0.6667 0.1068
Th1 Th 0.3333 0.6667 0.3297
```



No. 5
Here is a relaxed Ba2YSi crystal from Alexandria via LeMat-Bulk. Energies are from GGA-PBE.

Properties
Energy = -0.1496 hartree per atom
M_tot = 1.6 μB/cell
E_form (uncorrected) = -0.137 eV per atom

Cell and atoms, written as CIF:
```
data_Ba2YSi
_cell_length_a 3.939
_cell_length_b 4.363
_cell_length_c 19.351
_cell_angle_alpha 90.00
_cell_angle_beta 90.00
_cell_angle_gamma 90.00
_space_group_name_H-M_alt 'I m m m'
_space_group_IT_number 71
_space_group_name_Hall '-I 2 2'
loop_
_atom_site_label
_atom_site_type_symbol
_atom_site_fract_x
_atom_site_fract_y
_atom_site_fract_z
Ba1 Ba 0.000 0.000 0.153
Y1 Y 0.000 0.500 0.000
Si1 Si 0.000 0.500 0.500
```



No. 6
Here is a relaxed VCdOs3 crystal from Alexandria via LeMat-Bulk. Energies are from GGA-PBE.

Properties
Energy = -0.2642 hartree per atom
M_tot = 0.6 μB/cell
Polymorph energy (0 for the lowest one) = 0.000 eV/atom

Cell and atoms, written as CIF:
```
data_VCdOs3
_cell_length_a 4.524
_cell_length_b 4.524
_cell_length_c 4.524
_cell_angle_alpha 90.00
_cell_angle_beta 90.00
_cell_angle_gamma 90.00
_space_group_name_H-M_alt 'P m -3 m'
_space_group_IT_number 221
_space_group_name_Hall '-P 4 2 3'
loop_
_atom_site_label
_atom_site_type_symbol
_atom_site_fract_x
_atom_site_fract_y
_atom_site_fract_z
V1 V 0.000 0.000 0.000
Cd1 Cd 0.500 0.500 0.500
Os1 Os 0.000 0.000 0.500
```



No. 7
Here is a relaxed Ba2Tm2Bi2As crystal from Alexandria via LeMat-Bulk. Energies are from GGA-PBE.

Properties
Energy = -0.1672 hartree per atom
M_tot = 0.0 μB/cell

Cell and atoms, written as CIF:
```
data_Ba2Tm2Bi2As
_cell_length_a 5.343
_cell_length_b 5.343
_cell_length_c 18.137
_cell_angle_alpha 90.00
_cell_angle_beta 90.00
_cell_angle_gamma 90.00
_space_group_name_H-M_alt 'I 4/m m m'
_space_group_IT_number 139
_space_group_name_Hall '-I 4 2'
loop_
_atom_site_label
_atom_site_type_symbol
_atom_site_fract_x
_atom_site_fract_y
_atom_site_fract_z
Ba1 Ba 0.000 0.000 0.175
Tm1 Tm 0.000 0.500 0.000
Bi1 Bi 0.000 0.000 0.381
As1 As 0.000 0.000 0.000
```



No. 8
Here is a relaxed Ho6Cd4Pb7 crystal from Alexandria via LeMat-Bulk. Energies are from GGA-PBE.

Properties
Energy = -0.1264 hartree per atom
M_tot = 0.0 μB/cell

Cell and atoms, written as CIF:
```
data_Ho6Cd4Pb7
_cell_length_a 9.991
_cell_length_b 9.991
_cell_length_c 9.991
_cell_angle_alpha 90.00
_cell_angle_beta 90.00
_cell_angle_gamma 90.00
_space_group_name_H-M_alt 'I m -3 m'
_space_group_IT_number 229
_space_group_name_Hall '-I 4 2 3'
loop_
_atom_site_label
_atom_site_type_symbol
_atom_site_fract_x
_atom_site_fract_y
_atom_site_fract_z
Ho1 Ho 0.000 0.000 0.295
Cd1 Cd 0.250 0.250 0.250
Pb1 Pb 0.000 0.000 0.000
Pb2 Pb 0.000 0.250 0.500
```



No. 9
Here is a relaxed GaCuReO6 crystal from Alexandria via LeMat-Bulk. Energies are from GGA-PBE.

Properties
Energy = -0.2463 hartree per atom
M_tot = 2.0 μB/cell
E_form (uncorrected) = -1.221 eV per atom

Cell and atoms, written as CIF:
```
data_GaCuReO6
_cell_length_a 5.0562
_cell_length_b 5.0562
_cell_length_c 8.8759
_cell_angle_alpha 90.00
_cell_angle_beta 90.00
_cell_angle_gamma 120.00
_space_group_name_H-M_alt 'P -3 1 c'
_space_group_IT_number 163
_space_group_name_Hall '-P 3 2c'
loop_
_atom_site_label
_atom_site_type_symbol
_atom_site_fract_x
_atom_site_fract_y
_atom_site_fract_z
Ga1 Ga 0.3333 0.6667 0.2500
Cu1 Cu 0.0000 0.0000 0.0000
Re1 Re 0.3333 0.6667 0.7500
O1 O 0.0126 0.3589 0.6312
```



No. 10
Here is a relaxed Th4SbTe2Rh crystal from Alexandria via LeMat-Bulk. Energies are from GGA-PBE.

Properties
Energy = -0.2540 hartree per atom
M_tot = 0.0 μB/cell
E_form (uncorrected) = -0.983 eV per atom

Cell and atoms, written as CIF:
```
data_Th4SbTe2Rh
_cell_length_a 7.797
_cell_length_b 4.242
_cell_length_c 7.839
_cell_angle_alpha 90.00
_cell_angle_beta 107.71
_cell_angle_gamma 90.00
_space_group_name_H-M_alt 'P 1 2/m 1'
_space_group_IT_number 10
loop_
_space_group_symop_operation_xyz
'x,y,z'
'-x,-y,-z'
'-x,y,-z'
'x,-y,z'
loop_
_atom_site_label
_atom_site_type_symbol
_atom_site_fract_x
_atom_site_fract_y
_atom_site_fract_z
Th1 Th 0.210 0.000 0.213
Th2 Th 0.232 0.500 0.762
Sb1 Sb 0.000 0.000 0.500
Te1 Te 0.500 0.000 0.000
Te2 Te 0.500 0.500 0.500
Rh1 Rh 0.000 0.500 0.000
```



No. 11
Here is a relaxed PrEr2Ag crystal from Alexandria via LeMat-Bulk. Energies are from GGA-PBE.

Properties
Energy = -0.1589 hartree per atom
M_tot = 0.0 μB/cell
Polymorph energy (0 for the lowest one) = 0.000 eV/atom

Cell and atoms, written as CIF:
```
data_PrEr2Ag
_cell_length_a 3.637
_cell_length_b 3.637
_cell_length_c 8.586
_cell_angle_alpha 90.00
_cell_angle_beta 90.00
_cell_angle_gamma 90.00
_space_group_name_H-M_alt 'P 4/m m m'
_space_group_IT_number 123
_space_group_name_Hall '-P 4 2'
loop_
_atom_site_label
_atom_site_type_symbol
_atom_site_fract_x
_atom_site_fract_y
_atom_site_fract_z
Pr1 Pr 0.000 0.000 0.000
Er1 Er 0.500 0.500 0.295
Ag1 Ag 0.000 0.000 0.500
```



No. 12
Here is a relaxed VRh2I crystal from Alexandria via LeMat-Bulk. Energies are from GGA-PBE.

Properties
Energy = -0.2145 hartree per atom
M_tot = 0.7 μB/cell
E_form (uncorrected) = 0.506 eV per atom
Polymorph energy (0 for the lowest one) = 0.041 eV/atom

Cell and atoms, written as CIF:
```
data_VRh2I
_cell_length_a 5.886
_cell_length_b 5.886
_cell_length_c 10.681
_cell_angle_alpha 90.00
_cell_angle_beta 90.00
_cell_angle_gamma 90.00
_space_group_name_H-M_alt 'I -4 2 d'
_space_group_IT_number 122
_space_group_name_Hall 'I -4 2bw'
loop_
_atom_site_label
_atom_site_type_symbol
_atom_site_fract_x
_atom_site_fract_y
_atom_site_fract_z
V1 V 0.000 0.000 0.000
Rh1 Rh 0.202 0.250 0.125
I1 I 0.000 0.000 0.500
```